Density functional theory data (PBE-GGA) for a relaxed structure of Er4Cd2InPd.

Properties
**Formation energy from the elements**: -3.943 eV/f.u.
**E**: -0.1468 hartree per atom

Unit cell a=8.918 b=8.918 c=8.918 alpha=33.76 beta=33.76 gamma=33.76
Fractional coordinates of all 8 atoms:
Er 0.118 0.118 0.118
Er 0.370 0.370 0.370
Er 0.630 0.630 0.630
Er 0.882 0.882 0.882
Cd 0.245 0.245 0.245
Cd 0.755 0.755 0.755
In 0.500 0.500 0.500
Pd 0.000 0.000 0.000

***

Density functional theory data (PBE-GGA) for a relaxed structure of Er2CdInPd4.

Properties
**Formation energy from the elements**: -6.327 eV/f.u.
**E**: -0.1832 hartree per atom

Unit cell a=8.307 b=8.307 c=8.307 alpha=33.28 beta=33.28 gamma=33.28
Fractional coordinates of all 8 atoms:
Er 0.249 0.249 0.249
Er 0.751 0.751 0.751
Cd 0.500 0.500 0.500
In 0.000 0.000 0.000
Pd 0.124 0.124 0.124
Pd 0.373 0.373 0.373
Pd 0.627 0.627 0.627
Pd 0.876 0.876 0.876

***

Density functional theory data (PBE-GGA) for a relaxed structure of PmErCdIn.

Properties
**Formation energy from the elements**: -1.612 eV/f.u.
**E**: -0.1339 hartree per atom

Unit cell a=5.349 b=5.349 c=5.349 alpha=60.00 beta=60.00 gamma=60.00
Fractional coordinates of all 4 atoms:
Pm 0.000 0.000 0.000
Er 0.500 0.500 0.500
Cd 0.750 0.750 0.750
In 0.250 0.250 0.250

***

Density functional theory data (PBE-GGA) for a relaxed structure of Pr2ErCd2In2.

Properties
**Formation energy from the elements**: -1.889 eV/f.u.
**E**: -0.1224 hartree per atom

Unit cell a=9.674 b=9.674 c=9.674 alpha=29.72 beta=29.72 gamma=29.72
Fractional coordinates of all 7 atoms:
Pr 0.127 0.127 0.127
Pr 0.873 0.873 0.873
Er 0.000 0.000 0.000
Cd 0.390 0.390 0.390
Cd 0.610 0.610 0.610
In 0.265 0.265 0.265
In 0.735 0.735 0.735

***

Density functional theory data (PBE-GGA) for a relaxed structure of PrErCdIn.

Properties
**Formation energy from the elements**: -1.582 eV/f.u.
**E**: -0.1339 hartree per atom

Unit cell a=5.392 b=5.392 c=5.392 alpha=60.00 beta=60.00 gamma=60.00
Fractional coordinates of all 4 atoms:
Pr 0.000 0.000 0.000
Er 0.500 0.500 0.500
Cd 0.750 0.750 0.750
In 0.250 0.250 0.250

***

Density functional theory data (PBE-GGA) for a relaxed structure of Er4CdIn2Rh.

Properties
**Formation energy from the elements**: -4.121 eV/f.u.
**E**: -0.1659 hartree per atom

Unit cell a=8.863 b=8.863 c=8.863 alpha=33.98 beta=33.98 gamma=33.98
Fractional coordinates of all 8 atoms:
Er 0.115 0.115 0.115
Er 0.369 0.369 0.369
Er 0.631 0.631 0.631
Er 0.885 0.885 0.885
Cd 0.500 0.500 0.500
In 0.244 0.244 0.244
In 0.756 0.756 0.756
Rh 0.000 0.000 0.000

***

- Among the records above, which one has the highest formation energy from the elements?
  PrErCdIn

***

- Which value of formation energy from the elements does entry 2 give?
  -6.327 eV/f.u.

***

- Which value of formation energy from the elements does entry 5 give?
  -1.582 eV/f.u.